Record 1
Here is a geometry-optimized SmZrPa2As4 structure from Alexandria. Energies are from PBE.

Calculated values
The symmetry is P2/m, No. 10.

a b c (Å): 6.9880 4.0886 7.0614
angles (deg): 90.00 109.74 90.00
Atoms (fractional coordinates):
Sm: 0.0000 0.0000 0.0000
Zr: 0.0000 0.5000 0.5000
Pa: 0.5000 0.0000 0.5000
Pa: 0.5000 0.5000 0.0000
As: 0.2442 0.0000 0.7404
As: 0.2504 0.5000 0.2584
As: 0.7496 0.5000 0.7416
As: 0.7558 0.0000 0.2596



Record 2
Here is a geometry-optimized PaSnAs structure from Alexandria. Energies are from PBE.

Calculated values
The symmetry is R-3m, No. 166.

a b c (Å): 9.0793 9.0793 9.0793
angles (deg): 30.57 30.57 30.57
Atoms (fractional coordinates):
Pa: 0.2314 0.2314 0.2314
Pa: 0.7686 0.7686 0.7686
Sn: 0.3587 0.3587 0.3587
Sn: 0.6413 0.6413 0.6413
As: 0.1208 0.1208 0.1208
As: 0.8792 0.8792 0.8792



Record 3
Here is a geometry-optimized PaSnAs structure from Alexandria. Energies are from PBE.

Calculated values
The symmetry is P-6m2, No. 187.

a b c (Å): 4.7989 4.7989 3.8703
angles (deg): 90.00 90.00 120.00
Atoms (fractional coordinates):
Pa: 0.0000 0.0000 0.0000
Sn: 0.3333 0.6667 0.5000
As: 0.6667 0.3333 0.0000



Record 4
Here is a geometry-optimized PaSnAs2 structure from Alexandria. Energies are from PBE.

Calculated values
The symmetry is P4/mmm, No. 123.

a b c (Å): 4.6825 4.6825 3.9045
angles (deg): 90.00 90.00 90.00
Atoms (fractional coordinates):
Pa: 0.0000 0.0000 0.0000
Sn: 0.5000 0.5000 0.0000
As: 0.0000 0.5000 0.5000
As: 0.5000 0.0000 0.5000



Record 5
Here is a geometry-optimized PaSnAs structure from Alexandria. Energies are from PBE.

Calculated values
The symmetry is I4mm, No. 107.

a b c (Å): 6.1461 6.1461 6.1461
angles (deg): 145.70 145.70 49.29
Atoms (fractional coordinates):
Pa: 0.0000 0.0000 0.0000
Sn: 0.2967 0.2967 0.0000
As: 0.6179 0.6179 0.0000



Record 6
Here is a geometry-optimized PaSnAs structure from Alexandria. Energies are from PBE.

Calculated values
The symmetry is I4/mmm, No. 139.

a b c (Å): 8.9719 8.9719 8.9719
angles (deg): 153.35 153.35 38.04
Atoms (fractional coordinates):
Pa: 0.1520 0.1520 0.0000
Pa: 0.8480 0.8480 0.0000
Sn: 0.0000 0.5000 0.5000
Sn: 0.5000 0.0000 0.5000
As: 0.3217 0.3217 0.0000
As: 0.6783 0.6783 0.0000



Record 7
Here is a geometry-optimized Pa2SnAs structure from Alexandria. Energies are from PBE.

Calculated values
The symmetry is P4/mmm, No. 123.

a b c (Å): 3.4625 3.4625 7.9456
angles (deg): 90.00 90.00 90.00
Atoms (fractional coordinates):
Pa: 0.0000 0.0000 0.2204
Pa: 0.0000 0.0000 0.7796
Sn: 0.5000 0.5000 0.5000
As: 0.5000 0.5000 0.0000



Record 8
Here is a geometry-optimized PaSnAs2 structure from Alexandria. Energies are from PBE.

Calculated values
The symmetry is R-3m, No. 166.

a b c (Å): 9.5661 9.5661 9.5661
angles (deg): 21.61 21.61 21.61
Atoms (fractional coordinates):
Pa: 0.0000 0.0000 0.0000
Sn: 0.5000 0.5000 0.5000
As: 0.1008 0.1008 0.1008
As: 0.8992 0.8992 0.8992



Record 9
Here is a geometry-optimized Pa2SnAs structure from Alexandria. Energies are from PBE.

Calculated values
The symmetry is R-3m, No. 166.

a b c (Å): 7.4420 7.4420 7.4420
angles (deg): 32.81 32.81 32.81
Atoms (fractional coordinates):
Pa: 0.2420 0.2420 0.2420
Pa: 0.7580 0.7580 0.7580
Sn: 0.0000 0.0000 0.0000
As: 0.5000 0.5000 0.5000



Record 10
Here is a geometry-optimized Pa3Sn5As12 structure from Alexandria. Energies are from PBE.

Calculated values
The symmetry is Ia-3d, No. 230.

a b c (Å): 14.2702 14.2702 14.2702
angles (deg): 109.47 109.47 109.47
Atoms (fractional coordinates):
Pa: 0.1250 0.2500 0.3750
Pa: 0.1250 0.3750 0.7500
Pa: 0.2500 0.3750 0.1250
Pa: 0.2500 0.8750 0.6250
Pa: 0.3750 0.1250 0.2500
Pa: 0.3750 0.7500 0.1250
Pa: 0.6250 0.2500 0.8750
Pa: 0.6250 0.8750 0.7500
Pa: 0.7500 0.1250 0.3750
Pa: 0.7500 0.6250 0.8750
Pa: 0.8750 0.6250 0.2500
Pa: 0.8750 0.7500 0.6250
Sn: 0.0000 0.0000 0.0000
Sn: 0.0000 0.0000 0.5000
Sn: 0.0000 0.5000 0.0000
Sn: 0.0000 0.5000 0.5000
Sn: 0.1250 0.7500 0.8750
Sn: 0.1250 0.8750 0.2500
Sn: 0.2500 0.1250 0.8750
Sn: 0.2500 0.6250 0.3750
Sn: 0.3750 0.2500 0.6250
Sn: 0.3750 0.6250 0.7500
Sn: 0.5000 0.0000 0.0000
Sn: 0.5000 0.0000 0.5000
Sn: 0.5000 0.5000 0.0000
Sn: 0.5000 0.5000 0.5000
Sn: 0.6250 0.3750 0.2500
Sn: 0.6250 0.7500 0.3750
Sn: 0.7500 0.3750 0.6250
Sn: 0.7500 0.8750 0.1250
Sn: 0.8750 0.1250 0.7500
Sn: 0.8750 0.2500 0.1250
As: 0.0640 0.2370 0.1477
As: 0.0640 0.3270 0.9163
As: 0.0837 0.6477 0.4106
As: 0.0837 0.9360 0.6730
As: 0.0894 0.7370 0.6730
As: 0.0894 0.8523 0.4163
As: 0.1477 0.0640 0.2370
As: 0.1477 0.5837 0.9106
As: 0.1730 0.2370 0.5894
As: 0.1730 0.4360 0.5837
As: 0.2370 0.1477 0.0640
As: 0.2370 0.5894 0.1730
As: 0.2630 0.3270 0.9106
As: 0.2630 0.4360 0.3523
As: 0.3270 0.9106 0.2630
As: 0.3270 0.9163 0.0640
As: 0.3523 0.2630 0.4360
As: 0.3523 0.5894 0.9163
As: 0.4106 0.0837 0.6477
As: 0.4106 0.8270 0.7630
As: 0.4163 0.0894 0.8523
As: 0.4163 0.8270 0.5640
As: 0.4360 0.3523 0.2630
As: 0.4360 0.5837 0.1730
As: 0.5640 0.4163 0.8270
As: 0.5640 0.6477 0.7370
As: 0.5837 0.1730 0.4360
As: 0.5837 0.9106 0.1477
As: 0.5894 0.1730 0.2370
As: 0.5894 0.9163 0.3523
As: 0.6477 0.4106 0.0837
As: 0.6477 0.7370 0.5640
As: 0.6730 0.0837 0.9360
As: 0.6730 0.0894 0.7370
As: 0.7370 0.5640 0.6477
As: 0.7370 0.6730 0.0894
As: 0.7630 0.4106 0.8270
As: 0.7630 0.8523 0.9360
As: 0.8270 0.5640 0.4163
As: 0.8270 0.7630 0.4106
As: 0.8523 0.4163 0.0894
As: 0.8523 0.9360 0.7630
As: 0.9106 0.1477 0.5837
As: 0.9106 0.2630 0.3270
As: 0.9163 0.0640 0.3270
As: 0.9163 0.3523 0.5894
As: 0.9360 0.6730 0.0837
As: 0.9360 0.7630 0.8523



Record 11
Here is a geometry-optimized Pa2SnAs3 structure from Alexandria. Energies are from PBE.

Calculated values
The symmetry is P-4m2, No. 115.

a b c (Å): 4.0728 4.0728 8.3441
angles (deg): 90.00 90.00 90.00
Atoms (fractional coordinates):
Pa: 0.0000 0.5000 0.2035
Pa: 0.5000 0.0000 0.7965
Sn: 0.0000 0.0000 0.5000
As: 0.0000 0.5000 0.8555
As: 0.5000 0.0000 0.1445
As: 0.5000 0.5000 0.5000



Record 12
Here is a geometry-optimized Sr2Pa2As5 structure from Alexandria. Energies are from PBE.

Calculated values
The symmetry is Cmce, No. 64.

a b c (Å): 8.6210 8.6210 7.8563
angles (deg): 90.00 90.00 53.94
Atoms (fractional coordinates):
Sr: 0.2020 0.2020 0.0000
Sr: 0.2980 0.2980 0.5000
Sr: 0.7020 0.7020 0.5000
Sr: 0.7980 0.7980 0.0000
Pa: 0.1568 0.8432 0.6572
Pa: 0.3432 0.6568 0.1572
Pa: 0.6568 0.3432 0.8428
Pa: 0.8432 0.1568 0.3428
As: 0.0000 0.0000 0.0000
As: 0.0263 0.7312 0.3531
As: 0.2312 0.5263 0.8531
As: 0.2688 0.9737 0.3531
As: 0.4737 0.7688 0.8531
As: 0.5000 0.5000 0.5000
As: 0.5263 0.2312 0.1469
As: 0.7312 0.0263 0.6469
As: 0.7688 0.4737 0.1469
As: 0.9737 0.2688 0.6469



Number 1: formation energy from the elements -1.172 eV/atom. Number 2: formation energy from the elements -0.404 eV/atom. Number 3: formation energy from the elements -0.210 eV/atom. Number 4: formation energy from the elements -0.559 eV/atom. Number 5: formation energy from the elements -0.353 eV/atom. Number 6: formation energy from the elements -0.690 eV/atom. Number 7: formation energy from the elements -0.487 eV/atom. Number 8: formation energy from the elements 0.359 eV/atom. Number 9: formation energy from the elements -0.513 eV/atom. Number 10: formation energy from the elements -0.217 eV/atom. Number 11: formation energy from the elements -0.824 eV/atom. Number 12: formation energy from the elements -1.019 eV/atom.